Entry 1:
ReOs2Se | the Alexandria database | PBE-GGA | relaxed; E = -8.767 eV/atom; uncorrected formation energy = 0.83 eV/atom; DOS(E_F) = 4.2 states/eV/cell
1.0
-4.251 -0.986 1.788
-1.175 -4.251 -1.670
3.939 1.399 2.183
Os Re Se
2 1 1
direct
0.000 0.000 0.000
0.500 0.500 0.000
0.250 0.750 0.500
0.750 0.250 0.500

Entry 2:
Tb6NiHg2 | the Alexandria database | PBE-GGA | relaxed; formation energy = -0.21 eV per atom; E = -4.006 eV/atom; DOS(E_F) = 16.7 states/eV/cell
1.0
8.088 -0.067 2.963
-4.265 7.060 2.483
0.037 -0.067 8.613
Tb Ni Hg
12 2 4
direct
0.169 0.751 0.080
0.831 0.249 0.920
0.169 0.249 0.581
0.831 0.751 0.419
0.451 0.269 0.818
0.549 0.731 0.182
0.087 0.269 0.182
0.913 0.731 0.818
0.331 0.062 0.269
0.669 0.938 0.731
0.331 0.600 0.731
0.669 0.400 0.269
0.500 0.500 0.000
0.000 0.000 0.000
0.145 0.645 0.500
0.855 0.355 0.500
0.350 0.000 0.650
0.650 0.000 0.350

Entry 3:
La4Ag3Rh | the Alexandria database | PBE-GGA | relaxed; formation energy = -0.37 eV per atom; E = -4.822 eV/atom; DOS(E_F) = 7.2 states/eV/cell
1.0
-2.881 1.758 1.597
-2.375 -2.118 -1.953
-0.055 -10.328 11.267
Rh Ag La
1 3 4
direct
0.500 0.500 0.000
0.500 0.500 0.243
0.500 0.500 0.500
0.500 0.500 0.757
0.000 0.000 0.891
0.000 0.000 0.109
0.000 0.000 0.370
0.000 0.000 0.630

Entry 4:
ErB2C2 | the Alexandria database | PBE-GGA | relaxed; formation energy = -0.45 eV per atom; E = -7.720 eV/atom; DOS(E_F) = 2.0 states/eV/cell
1.0
5.339 0.000 0.000
0.000 5.339 0.000
0.000 0.000 3.509
Er B C
2 4 4
direct
0.500 0.500 0.000
0.000 0.000 0.000
0.136 0.636 0.500
0.636 0.864 0.500
0.864 0.364 0.500
0.364 0.136 0.500
0.838 0.662 0.500
0.338 0.838 0.500
0.662 0.162 0.500
0.162 0.338 0.500

Entry 5:
Pr2PuF8 | the Alexandria database | PBE-GGA | relaxed; E = -7.249 eV/atom; uncorrected formation energy = -3.72 eV/atom; DOS(E_F) = 10.2 states/eV/cell
1.0
-1.792 -3.396 0.721
3.049 -2.718 -5.227
3.755 1.462 5.639
Pr F Pu
2 8 1
direct
0.183 0.683 0.366
0.817 0.317 0.634
0.661 0.881 0.323
0.339 0.558 0.677
0.155 0.155 0.311
0.000 0.310 0.000
0.845 0.845 0.689
0.661 0.442 0.323
0.339 0.119 0.677
0.000 0.690 0.000
0.500 0.000 0.000

Entry 6:
BeNb2Cd | the Alexandria database | PBE-GGA | relaxed; formation energy = 0.44 eV per atom; E = -5.753 eV/atom; DOS(E_F) = 4.1 states/eV/cell
1.0
0.410 -3.739 -2.583
-3.169 -3.276 0.210
-2.831 -0.665 -3.516
Be Nb Cd
1 2 1
direct
0.000 0.000 0.000
0.250 0.250 0.250
0.750 0.750 0.750
0.500 0.500 0.500